Arrangement i

Material: Fe5Co3
Method: DFT, GGA-PBEsol
State: optimized geometry

Geometry as CIF:
```
data_Fe5Co3
_cell_length_a 5.5785
_cell_length_b 7.8816
_cell_length_c 3.9650
_cell_angle_alpha 90.00
_cell_angle_beta 90.00
_cell_angle_gamma 90.00
_space_group_name_H-M_alt 'C m m m'
_space_group_IT_number 65
_space_group_name_Hall '-C 2 2'
loop_
_atom_site_label
_atom_site_type_symbol
_atom_site_fract_x
_atom_site_fract_y
_atom_site_fract_z
Fe1 Fe 0.0000 0.0000 0.0000
Fe2 Fe 0.0000 0.2510 0.5000
Fe3 Fe 0.2500 0.2500 0.0000
Co1 Co 0.0000 0.5000 0.0000
Co2 Co 0.2489 0.0000 0.5000
```

Values from the calculation:
total magnetization	35.7	Bohr magnetons per cell
density of states at the Fermi level	10.8	states/eV/cell
volume	87	Å³/f.u.

***

Arrangement ii

Material: Fe5Co3
Method: DFT, GGA-PBEsol
State: optimized geometry

Geometry as CIF:
```
data_Fe5Co3
_cell_length_a 3.9515
_cell_length_b 3.9515
_cell_length_c 5.6034
_cell_angle_alpha 90.00
_cell_angle_beta 90.00
_cell_angle_gamma 90.00
_space_group_name_H-M_alt 'P -4 m 2'
_space_group_IT_number 115
_space_group_name_Hall 'P -4 -2'
loop_
_atom_site_label
_atom_site_type_symbol
_atom_site_fract_x
_atom_site_fract_y
_atom_site_fract_z
Fe1 Fe 0.0000 0.0000 0.0000
Fe2 Fe 0.0000 0.0000 0.5000
Fe3 Fe 0.0000 0.5000 0.2450
Fe4 Fe 0.5000 0.5000 0.5000
Co1 Co 0.0000 0.5000 0.7459
Co2 Co 0.5000 0.5000 0.0000
```

Values from the calculation:
total magnetization	17.9	Bohr magnetons per cell
density of states at the Fermi level	5.7	states/eV/cell
volume	87	Å³/f.u.

***

Arrangement iii

Material: Fe5Co3
Method: DFT, GGA-PBEsol
State: optimized geometry

Geometry as CIF:
```
data_Fe5Co3
_cell_length_a 2.7954
_cell_length_b 3.9525
_cell_length_c 15.8328
_cell_angle_alpha 90.00
_cell_angle_beta 90.00
_cell_angle_gamma 90.00
_space_group_name_H-M_alt 'I m m 2'
_space_group_IT_number 44
_space_group_name_Hall 'I 2 -2'
loop_
_atom_site_label
_atom_site_type_symbol
_atom_site_fract_x
_atom_site_fract_y
_atom_site_fract_z
Fe1 Fe 0.0000 0.0000 0.0000
Fe2 Fe 0.0000 0.0000 0.2498
Fe3 Fe 0.0000 0.0000 0.5000
Fe4 Fe 0.0000 0.5000 0.3747
Fe5 Fe 0.0000 0.5000 0.6249
Co1 Co 0.0000 0.0000 0.7507
Co2 Co 0.0000 0.5000 0.1244
Co3 Co 0.0000 0.5000 0.8746
```

Values from the calculation:
total magnetization	35.8	Bohr magnetons per cell
density of states at the Fermi level	9.3	states/eV/cell
volume	87	Å³/f.u.

***

arrangement iii is the most stable structure; the next one sits 0.012 eV/atom above it.